<1>
The following is a DFT calculation (GGA-PBE) of a geometry-optimized HoTm2Pd2 structure.

Lattice parameters (Å, degrees): 4.559 5.416 10.896 111.52 90.00 90.00
Atoms (fractional coordinates):
Ho  0.250  0.805  0.214
Ho  0.750  0.195  0.786
Tm  0.250  0.769  0.881
Tm  0.750  0.231  0.119
Tm  0.250  0.289  0.535
Tm  0.750  0.711  0.465
Pd  0.250  0.874  0.639
Pd  0.750  0.126  0.361
Pd  0.250  0.322  0.971
Pd  0.750  0.678  0.029

Properties
The total moment comes out at 0.0000 μB/atom.

---

<2>
The following is a DFT calculation (GGA-PBE) of a geometry-optimized HoTm2Pd2 structure.

Lattice parameters (Å, degrees): 3.926 7.711 7.711 90.00 90.00 90.00
Atoms (fractional coordinates):
Ho  0.500  0.500  0.000
Ho  0.500  0.000  0.500
Tm  0.000  0.663  0.337
Tm  0.000  0.837  0.837
Tm  0.000  0.163  0.163
Tm  0.000  0.337  0.663
Pd  0.500  0.366  0.366
Pd  0.500  0.866  0.134
Pd  0.500  0.134  0.866
Pd  0.500  0.634  0.634

Properties
The total moment comes out at 0.0000 μB/atom.

---

Quick one: most stable of them? <2>

---

<1>
The following is a DFT calculation (GGA-PBE) of a geometry-optimized HoTm2Pd3 structure.

Lattice parameters (Å, degrees): 3.474 3.474 10.406 90.00 90.00 90.00
Atoms (fractional coordinates):
Ho  0.500  0.500  0.500
Tm  0.500  0.500  0.834
Tm  0.500  0.500  0.166
Pd  0.000  0.000  0.000
Pd  0.000  0.000  0.670
Pd  0.000  0.000  0.330

Properties
The total moment comes out at 0.0000 μB/atom.

---

<2>
The following is a DFT calculation (GGA-PBE) of a geometry-optimized HoTm2Pd3 structure.

Lattice parameters (Å, degrees): 3.411 4.948 14.850 90.00 90.00 90.00
Atoms (fractional coordinates):
Ho  0.999  0.500  0.500
Ho  0.001  0.000  0.000
Tm  0.000  0.000  0.667
Tm  0.000  0.000  0.333
Tm  0.000  0.500  0.167
Tm  0.000  0.500  0.833
Pd  0.500  0.500  0.669
Pd  0.500  0.000  0.500
Pd  0.500  0.500  0.331
Pd  0.500  0.000  0.169
Pd  0.500  0.500  0.000
Pd  0.500  0.000  0.831

Properties
The total moment comes out at 0.0000 μB/atom.

---

Quick one: most stable of them? <2>

---

<1>
The following is a DFT calculation (GGA-PBE) of a geometry-optimized Ho2TmPd structure.

Lattice parameters (Å, degrees): 3.661 3.661 9.787 79.22 79.22 60.00
Atoms (fractional coordinates):
Ho  0.067  0.067  0.800
Ho  0.266  0.266  0.201
Tm  0.501  0.501  0.498
Pd  0.666  0.666  0.001

Properties
The total moment comes out at 0.1042 μB/atom.

---

<2>
The following is a DFT calculation (GGA-PBE) of a geometry-optimized Ho2TmPd structure.

Lattice parameters (Å, degrees): 3.537 3.537 10.820 80.59 80.59 60.00
Atoms (fractional coordinates):
Tm  0.000  0.000  0.000
Ho  0.105  0.105  0.685
Ho  0.895  0.895  0.315
Pd  0.500  0.500  0.500

Properties
The total moment comes out at 0.0001 μB/atom.

---

<3>
The following is a DFT calculation (GGA-PBE) of a geometry-optimized Ho2TmPd structure.

Lattice parameters (Å, degrees): 6.429 6.948 9.596 90.00 90.00 90.00
Atoms (fractional coordinates):
Ho  0.178  0.683  0.059
Ho  0.322  0.183  0.441
Ho  0.822  0.317  0.559
Ho  0.678  0.817  0.941
Ho  0.822  0.317  0.941
Ho  0.678  0.817  0.559
Ho  0.178  0.683  0.441
Ho  0.322  0.183  0.059
Tm  0.629  0.524  0.250
Tm  0.871  0.024  0.250
Tm  0.371  0.476  0.750
Tm  0.129  0.976  0.750
Pd  0.051  0.393  0.250
Pd  0.449  0.893  0.250
Pd  0.949  0.607  0.750
Pd  0.551  0.107  0.750

Properties
The total moment comes out at 0.0000 μB/atom.

---

Quick one: most stable of them? <3>

---

<1>
The following is a DFT calculation (GGA-PBE) of a geometry-optimized Ho2TmPd structure.

Lattice parameters (Å, degrees): 3.557 3.557 8.285 90.00 90.00 90.00
Atoms (fractional coordinates):
Tm  0.500  0.500  0.500
Ho  0.000  0.000  0.798
Ho  0.000  0.000  0.202
Pd  0.500  0.500  0.000

Properties
The total moment comes out at 0.0000 μB/atom.

---

<2>
The following is a DFT calculation (GGA-PBE) of a geometry-optimized Ho2TmPd structure.

Lattice parameters (Å, degrees): 3.738 6.352 9.292 90.00 90.00 107.11
Atoms (fractional coordinates):
Ho  0.365  0.730  0.560
Ho  0.635  0.270  0.440
Ho  0.365  0.730  0.940
Ho  0.635  0.270  0.060
Tm  0.937  0.874  0.250
Tm  0.063  0.126  0.750
Pd  0.760  0.519  0.750
Pd  0.240  0.481  0.250

Properties
The total moment comes out at 0.0000 μB/atom.

---

Quick one: most stable of them? <2>

---

<1>
The following is a DFT calculation (GGA-PBE) of a geometry-optimized Ho3TmPd3 structure.

Lattice parameters (Å, degrees): 5.994 6.010 5.994 109.52 109.42 109.52
Atoms (fractional coordinates):
Ho  0.500  0.004  0.000
Ho  0.500  0.504  0.500
Ho  0.000  0.004  0.500
Tm  0.000  0.503  0.000
Pd  0.500  0.504  0.000
Pd  0.500  0.004  0.500
Pd  0.000  0.504  0.500

Properties
The total moment comes out at 0.0000 μB/atom.

---

<2>
The following is a DFT calculation (GGA-PBE) of a geometry-optimized Ho3TmPd3 structure.

Lattice parameters (Å, degrees): 6.911 6.911 7.062 91.49 91.49 97.35
Atoms (fractional coordinates):
Ho  0.652  0.652  0.365
Ho  0.176  0.824  0.500
Ho  0.824  0.176  0.500
Ho  0.252  0.748  0.000
Ho  0.748  0.252  0.000
Ho  0.348  0.348  0.635
Tm  0.739  0.739  0.876
Tm  0.261  0.261  0.124
Pd  0.938  0.938  0.191
Pd  0.984  0.499  0.720
Pd  0.499  0.984  0.720
Pd  0.016  0.501  0.280
Pd  0.501  0.016  0.280
Pd  0.062  0.062  0.809

Properties
The total moment comes out at 0.0000 μB/atom.

---

Quick one: most stable of them? <1>

---

<1>
The following is a DFT calculation (GGA-PBE) of a geometry-optimized Ho2Tm2Pd3 structure.

Lattice parameters (Å, degrees): 4.867 4.867 8.502 90.00 106.63 120.00
Atoms (fractional coordinates):
Ho  0.250  0.125  0.375
Ho  0.750  0.875  0.625
Tm  0.750  0.375  0.125
Tm  0.250  0.625  0.875
Pd  0.000  0.000  0.000
Pd  0.500  0.250  0.751
Pd  0.500  0.750  0.249

Properties
The total moment comes out at 0.0000 μB/atom.

---

<2>
The following is a DFT calculation (GGA-PBE) of a geometry-optimized Ho2Tm2Pd3 structure.

Lattice parameters (Å, degrees): 4.146 6.833 7.063 100.05 89.85 107.87
Atoms (fractional coordinates):
Ho  0.868  0.728  0.640
Ho  0.132  0.272  0.360
Tm  0.628  0.253  0.895
Tm  0.372  0.747  0.105
Pd  0.000  0.000  0.000
Pd  0.759  0.524  0.255
Pd  0.241  0.476  0.745

Properties
The total moment comes out at 0.0000 μB/atom.

---

Quick one: most stable of them? <1>

---

<1>
The following is a DFT calculation (GGA-PBE) of a geometry-optimized HoTmPd4 structure.

Lattice parameters (Å, degrees): 5.423 5.423 5.423 60.00 60.00 60.00
Atoms (fractional coordinates):
Tm  0.250  0.250  0.250
Ho  0.000  0.000  0.000
Pd  0.625  0.625  0.125
Pd  0.625  0.125  0.625
Pd  0.625  0.625  0.625
Pd  0.125  0.625  0.625

Properties
The total moment comes out at 0.0000 μB/atom.

---

<2>
The following is a DFT calculation (GGA-PBE) of a geometry-optimized HoTmPd4 structure.

Lattice parameters (Å, degrees): 3.618 5.174 7.122 102.97 75.29 69.53
Atoms (fractional coordinates):
Ho  0.000  0.000  0.000
Tm  0.500  0.500  0.500
Pd  0.836  0.497  0.830
Pd  0.330  0.004  0.336
Pd  0.164  0.503  0.170
Pd  0.670  0.996  0.664

Properties
The total moment comes out at 0.0000 μB/atom.

---

Quick one: most stable of them? <1>

---

<1>
The following is a DFT calculation (GGA-PBE) of a geometry-optimized Ho3TmPd4 structure.

Lattice parameters (Å, degrees): 3.418 4.972 9.946 90.00 90.00 90.00
Atoms (fractional coordinates):
Tm  0.500  0.500  0.000
Ho  0.500  0.000  0.249
Ho  0.500  0.500  0.500
Ho  0.500  0.000  0.751
Pd  0.000  0.000  0.500
Pd  0.000  0.500  0.753
Pd  0.000  0.000  0.000
Pd  0.000  0.500  0.247

Properties
The total moment comes out at 0.0000 μB/atom.

---

<2>
The following is a DFT calculation (GGA-PBE) of a geometry-optimized Ho3TmPd4 structure.

Lattice parameters (Å, degrees): 3.719 6.643 8.505 112.99 102.63 90.00
Atoms (fractional coordinates):
Ho  0.000  0.500  0.000
Ho  0.203  0.203  0.405
Ho  0.797  0.797  0.595
Tm  0.500  0.000  0.000
Pd  0.372  0.579  0.743
Pd  0.628  0.421  0.257
Pd  0.628  0.835  0.257
Pd  0.372  0.165  0.743

Properties
The total moment comes out at 0.0000 μB/atom.

---

Quick one: most stable of them? <1>